Here is a relaxed structure of Pm4Sm3Er from the Alexandria database. Energies are from PBE-GGA.

Properties
ΔE_f = 0.16 eV/atom
total DFT energy (no corrections) = -4.56 eV per atom

Cell lengths 23.6207, 3.5077, 6.8815 Å; angles 90.00, 106.88, 90.00 degrees
Space group C2/m (No. 12)
Symmetry-distinct sites (fractional):
Pm 0.1235 0.0000 0.3643 (multiplicity 4)
Pm 0.2413 0.5000 0.2408 (multiplicity 4)
Sm 0.0000 0.0000 0.5000 (multiplicity 2)
Sm 0.1235 0.0000 0.8837 (multiplicity 4)
Er 0.0000 0.5000 0.0000 (multiplicity 2)

***

Here is a relaxed structure of PmSm2Er7 from the Alexandria database. Energies are from PBE-GGA.

Properties
ΔE_f = 0.02 eV/atom
total DFT energy (no corrections) = -4.59 eV per atom

Cell lengths 6.1345, 7.0858, 7.9167 Å; angles 77.14, 75.11, 73.26 degrees
Space group P-1 (No. 2)
Symmetry-distinct sites (fractional):
Pm 0.0000 0.0000 0.0000 (multiplicity 1)
Sm 0.2003 0.2998 0.6003 (multiplicity 2)
Er 0.0000 0.5000 0.0000 (multiplicity 1)
Er 0.2002 0.7997 0.6004 (multiplicity 2)
Er 0.3995 0.1005 0.1992 (multiplicity 2)
Er 0.4008 0.5997 0.1997 (multiplicity 2)

***

Here is a relaxed structure of Pm3Sm2Er7 from the Alexandria database. Energies are from PBE-GGA.

Properties
ΔE_f = 0.09 eV/atom
total DFT energy (no corrections) = -4.55 eV per atom

Cell lengths 6.3309, 3.5216, 17.4880 Å; angles 90.00, 96.26, 90.00 degrees
Space group P2/m (No. 10)
Symmetry-distinct sites (fractional):
Pm 0.0000 0.0000 0.0000 (multiplicity 1)
Pm 0.0464 0.5000 0.6588 (multiplicity 2)
Sm 0.4439 0.0000 0.3258 (multiplicity 2)
Er 0.2282 0.5000 0.1638 (multiplicity 2)
Er 0.2460 0.0000 0.5000 (multiplicity 2)
Er 0.2744 0.0000 0.8350 (multiplicity 2)
Er 0.5000 0.5000 0.0000 (multiplicity 1)

***

Here is a relaxed structure of Pm8Sm6Er from the Alexandria database. Energies are from PBE-GGA.

Properties
ΔE_f = 0.11 eV/atom
total DFT energy (no corrections) = -4.61 eV per atom

Cell lengths 9.2236, 9.2236, 20.9578 Å; angles 90.00, 90.00, 120.00 degrees
Space group R-3 (No. 148, hexagonal axes)
Symmetry-distinct sites (fractional):
Pm 0.0000 0.0000 0.0776 (multiplicity 6)
Pm 0.0809 0.5560 0.3066 (multiplicity 18)
Sm 0.0535 0.2470 0.2074 (multiplicity 18)
Er 0.0000 0.0000 0.5000 (multiplicity 3)

***

Here is a relaxed structure of Pm6SmEr from the Alexandria database. Energies are from PBE-GGA.

Properties
ΔE_f = 0.02 eV/atom
total DFT energy (no corrections) = -4.71 eV per atom

Cell lengths 7.2803, 10.2357, 8.1144 Å; angles 90.00, 116.51, 90.00 degrees
Space group C2/m (No. 12)
Symmetry-distinct sites (fractional):
Pm 0.1259 0.2500 0.2520 (multiplicity 8)
Pm 0.2505 0.0000 0.0012 (multiplicity 4)
Sm 0.0000 0.0000 0.5000 (multiplicity 2)
Er 0.0000 0.5000 0.5000 (multiplicity 2)

***

Here is a relaxed structure of Pm9Sm11Er4 from the Alexandria database. Energies are from PBE-GGA.

Properties
ΔE_f = 0.05 eV/atom
total DFT energy (no corrections) = -4.65 eV per atom

Cell lengths 20.9406, 21.4473, 3.5875 Å; angles 90.00, 90.00, 90.00 degrees
Space group Cmmm (No. 65)
Symmetry-distinct sites (fractional):
Pm 0.0000 0.0000 0.0000 (multiplicity 2)
Pm 0.1228 0.2455 0.0000 (multiplicity 8)
Pm 0.1228 0.4154 0.0000 (multiplicity 8)
Sm 0.0000 0.1538 0.5000 (multiplicity 4)
Sm 0.0000 0.3291 0.5000 (multiplicity 4)
Sm 0.0000 0.5000 0.5000 (multiplicity 2)
Sm 0.2447 0.5000 0.5000 (multiplicity 4)
Sm 0.2479 0.3321 0.5000 (multiplicity 8)
Er 0.1369 0.0838 0.0000 (multiplicity 8)

***

Here is a relaxed structure of PmSm14Er from the Alexandria database. Energies are from PBE-GGA.

Properties
ΔE_f = 0.00 eV/atom
total DFT energy (no corrections) = -4.71 eV per atom

Cell lengths 11.7138, 7.2743, 12.5958 Å; angles 90.00, 90.00, 90.00 degrees
Space group Amm2 (No. 38)
Symmetry-distinct sites (fractional):
Pm 0.0000 0.0000 0.0000 (multiplicity 2)
Sm 0.0000 0.2491 0.2493 (multiplicity 4)
Sm 0.2483 0.0000 0.6662 (multiplicity 4)
Sm 0.2487 0.2494 0.4166 (multiplicity 8)
Sm 0.2510 0.0000 0.1665 (multiplicity 4)
Sm 0.5000 0.0000 0.3337 (multiplicity 2)
Sm 0.5000 0.0000 0.8335 (multiplicity 2)
Sm 0.5000 0.2495 0.5834 (multiplicity 4)
Er 0.0000 0.0000 0.4995 (multiplicity 2)

***

Here is a relaxed structure of Pm8Sm4Er from the Alexandria database. Energies are from PBE-GGA.

Properties
ΔE_f = 0.48 eV/atom
total DFT energy (no corrections) = -4.25 eV per atom

Cell lengths 11.2292, 11.2292, 13.4774 Å; angles 90.00, 90.00, 120.00 degrees
Space group R-3m (No. 166, hexagonal axes)
Symmetry-distinct sites (fractional):
Pm 0.0000 0.0000 0.2382 (multiplicity 6)
Pm 0.0113 0.5057 0.7427 (multiplicity 18)
Sm 0.0000 0.0000 0.0000 (multiplicity 3)
Sm 0.0000 0.5000 0.0000 (multiplicity 9)
Er 0.0000 0.0000 0.5000 (multiplicity 3)